No. 1
! SnBiS2 | Alexandria via LeMat-Bulk | PBE | optimized geometry; values from VASP
! - Energy relative to the elements, uncorrected: -0.2067 eV per atom
! - N(E_F): 0.9 states/eV per cell
! - Spin magnetization: 0.000 μB/atom
&SYSTEM
  ibrav = 0, nat = 4, ntyp = 3
/
ATOMIC_SPECIES
S 32.06 S.upf
Sn 118.71 Sn.upf
Bi 208.98 Bi.upf
ATOMIC_POSITIONS angstrom
S 1.926 1.112 5.918
Sn 3.853 2.224 3.992
Bi 3.853 2.224 0.007
S 1.926 1.112 1.812
CELL_PARAMETERS angstrom
3.853 0.000 0.000
1.926 3.337 0.000
1.926 1.112 7.820

No. 2
! MnPb2W | Alexandria via LeMat-Bulk | PBE | optimized geometry; values from VASP
! - N(E_F): 2.7 states/eV per cell
! - Spin magnetization: 0.123 μB/atom
! - Polymorph energy (0 for the lowest one): 53 kJ/mol of formula units
! - Energy of formation: 0.5695 eV per atom
&SYSTEM
  ibrav = 0, nat = 4, ntyp = 3
/
ATOMIC_SPECIES
Mn 54.94 Mn.upf
Pb 207.20 Pb.upf
W 183.84 W.upf
ATOMIC_POSITIONS angstrom
Mn 23.833 3.709 2.176
Pb 0.615 0.096 0.056
W 14.906 2.320 1.361
Pb 7.270 1.131 0.664
CELL_PARAMETERS angstrom
10.688 0.047 0.028
10.197 3.203 0.028
10.197 1.587 2.782

No. 3
! Pm2Y4HoTm2 | Alexandria via LeMat-Bulk | PBE | optimized geometry; values from VASP
! - N(E_F): 12.9 states/eV per cell
! - Spin magnetization: 0.000 μB/atom
! - Energy of formation: 0.0115 eV per atom
&SYSTEM
  ibrav = 0, nat = 9, ntyp = 4
/
ATOMIC_SPECIES
Ho 164.93 Ho.upf
Pm 145.00 Pm.upf
Tm 168.93 Tm.upf
Y 88.91 Y.upf
ATOMIC_POSITIONS angstrom
Ho 0.000 0.000 0.000
Pm 1.801 5.322 2.595
Tm 0.000 2.504 8.488
Y 0.000 6.496 5.437
Y 0.000 2.217 2.743
Y 1.801 3.394 5.592
Tm 1.801 3.108 -0.153
Pm 0.000 0.290 5.740
Y 1.801 -0.884 2.898
CELL_PARAMETERS angstrom
3.601 0.000 0.000
-1.801 9.329 -0.473
0.000 -3.718 8.808